Material: KAs2
Method: DFT, PBE
State: optimized geometry

Structure (POSCAR):
```
KAs2
1.0
-2.029 1.421 -3.780
-2.344 -0.262 3.861
1.295 4.804 1.111
As K
2 1
Direct
0.667 0.333 0.500
0.333 0.667 0.500
0.000 0.000 0.000
```

Output
As for the formation enthalpy at 0 K: -26.3 kJ/mol of atoms. The total magnetic moment comes out at 0.00 μB/f.u. For the calculated density, the calculation gives 3.474 Mg/m³.